# NdSmSbP (GGA-PBE, optimized geometry)
data_NdSmSbP
_space_group_name_H-M_alt 'R 3 m'
_space_group_IT_number 160
_space_group_name_Hall 'R 3 -2"'
_cell_length_a 4.2838
_cell_length_b 4.2838
_cell_length_c 21.4396
_cell_angle_alpha 90.00
_cell_angle_beta 90.00
_cell_angle_gamma 120.00
loop_
_atom_site_label
_atom_site_type_symbol
_atom_site_fract_x
_atom_site_fract_y
_atom_site_fract_z
_atom_site_occupancy
Nd1 Nd 0.0000 0.0000 0.0000 1
Sm1 Sm 0.0000 0.0000 0.4843 1
Sb1 Sb 0.0000 0.0000 0.2410 1
P1 P 0.0000 0.0000 0.7432 1
# energy relative to the elements, uncorrected: -1338 meV/atom
# uncorrected energy: -6.093 eV per atom

***

# Nd6Sb2Te3P (GGA-PBE, optimized geometry)
data_Nd6Sb2Te3P
_space_group_name_H-M_alt 'C 1 2/m 1'
_space_group_IT_number 12
_space_group_name_Hall '-C 2y'
_cell_length_a 19.565
_cell_length_b 4.420
_cell_length_c 8.993
_cell_angle_alpha 90.00
_cell_angle_beta 104.00
_cell_angle_gamma 90.00
loop_
_atom_site_label
_atom_site_type_symbol
_atom_site_fract_x
_atom_site_fract_y
_atom_site_fract_z
_atom_site_occupancy
Nd1 Nd 0.000 0.000 0.219 1
Nd2 Nd 0.152 0.500 0.080 1
Nd3 Nd 0.167 0.500 0.578 1
Sb1 Sb 0.166 0.000 0.333 1
Te1 Te 0.000 0.500 0.500 1
Te2 Te 0.171 0.000 0.837 1
P1 P 0.000 0.500 0.000 1
# energy relative to the elements, uncorrected: -1416 meV/atom
# uncorrected energy: -5.723 eV per atom